A plane-wave DFT calculation with PBE was carried out for a relaxed structure of Tl8Te2S3.

Summary:
Fermi-level density of states ... 0.382 states/eV/atom
V ... 36.92 A^3/atom
Raw total energy ... -3.13 eV per atom

Cell: 8.7055 8.7055 7.4600 Å, 102.70 102.70 61.41°
Closest atoms and distances in Å follow each position.
Element x y z (fractional)
1 Tl 0.1002 0.6675 0.6209  2 S 2.89-2.93, 1 Te 3.22
2 Tl 0.1170 0.1170 0.8999  3 S 3.02-3.05
3 Tl 0.3325 0.8998 0.3791  2 S 2.89-2.93, 1 Te 3.22
4 Tl 0.3638 0.3638 0.9818  2 S 3.01
5 Tl 0.6362 0.6362 0.0182  2 S 3.01
6 Tl 0.6675 0.1002 0.6209  2 S 2.89-2.93, 1 Te 3.22
7 Tl 0.8830 0.8830 0.1001  3 S 3.02-3.05
8 Tl 0.8998 0.3325 0.3791  2 S 2.89-2.93, 1 Te 3.22
9 Te 0.2898 0.2898 0.3762  5 Tl 3.22-3.40
10 Te 0.7102 0.7102 0.6238  5 Tl 3.22-3.40
11 S 0.0000 0.0000 0.5000  6 Tl 2.89-3.05
12 S 0.2473 0.7527 0.0000  6 Tl 2.93-3.02
13 S 0.7527 0.2473 0.0000  6 Tl 2.93-3.02

=====

A plane-wave DFT calculation with PBE was carried out for a relaxed structure of Tl8Te4S.

Summary:
Fermi-level density of states ... 0.636 states/eV/atom
V ... 37.44 A^3/atom
Raw total energy ... -2.94 eV per atom

Cell: 8.4660 8.4660 8.4660 Å, 66.23 66.23 66.23°
Closest atoms and distances in Å follow each position.
Element x y z (fractional)
1 Tl 0.2399 0.2399 0.2399  3 Te 3.24
2 Tl 0.2514 0.7352 0.7352  1 S 2.97, 3 Te 3.20-3.31
3 Tl 0.2648 0.2648 0.7486  1 S 2.97, 3 Te 3.20-3.31
4 Tl 0.2648 0.7486 0.2648  1 S 2.97, 3 Te 3.20-3.31
5 Tl 0.7352 0.2514 0.7352  1 S 2.97, 3 Te 3.20-3.31
6 Tl 0.7352 0.7352 0.2514  1 S 2.97, 3 Te 3.20-3.31
7 Tl 0.7486 0.2648 0.2648  1 S 2.97, 3 Te 3.20-3.31
8 Tl 0.7601 0.7601 0.7601  3 Te 3.24
9 Te 0.0000 0.0000 0.0000  6 Tl 3.31
10 Te 0.0000 0.5000 0.5000  6 Tl 3.20-3.24
11 Te 0.5000 0.0000 0.5000  6 Tl 3.20-3.24
12 Te 0.5000 0.5000 0.0000  6 Tl 3.20-3.24
13 S 0.5000 0.5000 0.5000  6 Tl 2.97

=====

A plane-wave DFT calculation with PBE was carried out for a relaxed structure of Tl4TeS4.

Summary:
Fermi-level density of states ... 0.354 states/eV/atom
V ... 28.25 A^3/atom
Raw total energy ... -3.41 eV per atom

Cell: 7.2401 7.2401 7.2401 Å, 99.12 99.12 133.08°
Closest atoms and distances in Å follow each position.
Element x y z (fractional)
1 Tl 0.0972 0.7079 0.8051  5 S 2.89-3.23
2 Tl 0.2921 0.0972 0.3894  5 S 2.89-3.23
3 Tl 0.7079 0.9028 0.6106  5 S 2.89-3.23
4 Tl 0.9028 0.2921 0.1949  5 S 2.89-3.23
5 Te 0.5000 0.5000 0.0000  4 S 2.71
6 S 0.2236 0.4162 0.6398  1 Te 2.71, 3 Tl 2.89-2.99
7 S 0.4162 0.7764 0.1927  1 Te 2.71, 3 Tl 2.89-2.99
8 S 0.5838 0.2236 0.8073  1 Te 2.71, 3 Tl 2.89-2.99
9 S 0.7764 0.5838 0.3602  1 Te 2.71, 3 Tl 2.89-2.99

=====

A plane-wave DFT calculation with PBE was carried out for a relaxed structure of Tl8Te3S.

Summary:
Fermi-level density of states ... 0.042 states/eV/atom
V ... 36.62 A^3/atom
Raw total energy ... -2.92 eV per atom

Cell: 7.1598 7.1598 8.5726 Å, 90.00 90.00 90.00°
Closest atoms and distances in Å follow each position.
Element x y z (fractional)
1 Tl 0.1592 0.7339 0.2265  1 S 2.95, 2 Te 3.10-3.23
2 Tl 0.2661 0.8408 0.7735  1 S 2.95, 2 Te 3.10-3.23
3 Tl 0.2931 0.2931 0.0000  1 S 2.97
4 Tl 0.3170 0.3170 0.5000  3 Te 3.21-3.36
5 Tl 0.6830 0.6830 0.5000  3 Te 3.21-3.36
6 Tl 0.7069 0.7069 0.0000  1 S 2.97
7 Tl 0.7339 0.1592 0.7735  1 S 2.95, 2 Te 3.10-3.23
8 Tl 0.8408 0.2661 0.2265  1 S 2.95, 2 Te 3.10-3.23
9 Te 0.0000 0.0000 0.5000  6 Tl 3.21-3.23
10 Te 0.0000 0.5000 0.7460  6 Tl 3.10-3.37
11 Te 0.5000 0.0000 0.2540  6 Tl 3.10-3.37
12 S 0.0000 0.0000 0.0000  6 Tl 2.95-2.97

=====

A plane-wave DFT calculation with PBE was carried out for a relaxed structure of Tl2Te2S3.

Summary:
Fermi-level density of states ... 0.097 states/eV/atom
V ... 32.45 A^3/atom
Excess energy over the best structure of this formula in the dataset ... 0 meV/atom

Cell: 5.5503 6.3583 6.7994 Å, 74.33 84.48 79.92°
Closest atoms and distances in Å follow each position.
Element x y z (fractional)
1 Tl 0.0236 0.2507 0.2139  6 S 3.25-3.62
2 Tl 0.9764 0.7493 0.7861  6 S 3.25-3.62
3 Te 0.4767 0.6823 0.3114  1 S 2.37
4 Te 0.5233 0.3177 0.6886  1 S 2.37
5 S 0.1149 0.2444 0.7356  1 Te 2.37
6 S 0.5000 0.5000 0.0000  2 Te 2.66
7 S 0.8851 0.7556 0.2644  1 Te 2.37

=====

A plane-wave DFT calculation with PBE was carried out for a relaxed structure of Tl8Te3S8.

Summary:
V ... 31.89 A^3/atom
Raw total energy ... -3.40 eV per atom

Cell: 6.7974 8.5178 10.8358 Å, 84.60 75.98 89.21°
Closest atoms and distances in Å follow each position.
Element x y z (fractional)
1 Tl 0.0302 0.4915 0.3223  4 S 2.50-2.68
2 Tl 0.2103 0.0153 0.1972  2 S 2.98-2.99, 1 Te 3.24
3 Tl 0.2912 0.6713 0.9464  4 S 3.07-3.35
4 Tl 0.4386 0.2259 0.4957  4 S 3.09-3.28
5 Tl 0.5614 0.7741 0.5043  4 S 3.09-3.28
6 Tl 0.7088 0.3287 0.0536  4 S 3.07-3.35
7 Tl 0.7897 0.9847 0.8028  2 S 2.98-2.99, 1 Te 3.24
8 Tl 0.9698 0.5085 0.6777  4 S 2.50-2.68
9 Te 0.0000 0.0000 0.5000  2 S 2.69
10 Te 0.2720 0.1965 0.8825  2 S 2.43
11 Te 0.7280 0.8035 0.1175  2 S 2.43
12 S 0.1220 0.7024 0.4670  2 Tl 2.67-2.68, 1 Te 2.69
13 S 0.2464 0.3652 0.1377  1 Tl 2.50
14 S 0.3222 0.4342 0.7346  1 Te 2.43, 1 Tl 2.67
15 S 0.3874 0.9939 0.7390  1 Te 2.43
16 S 0.6126 0.0061 0.2610  1 Te 2.43
17 S 0.6778 0.5658 0.2654  1 Te 2.43, 1 Tl 2.67
18 S 0.7536 0.6348 0.8623  1 Tl 2.50
19 S 0.8780 0.2976 0.5330  2 Tl 2.67-2.68, 1 Te 2.69

=====

Question: Which of these has the lowest V?
Answer: Tl4TeS4